The following is a PBE-GGA calculation of a geometry-optimized HfFeB4 structure, from OQMD.

a = 3.0661 Å, b = 5.2490 Å, c = 6.7341 Å
α = 90.00°, β = 90.00°, γ = 90.00°
Last column: nearest neighbours and their distance in Å.
Space group Immm (No. 71)
Symmetry-distinct sites (fractional):
Hf  0.0000  0.0000  0.0000 x2  12 B 2.42-2.44
Fe  0.0000  0.0000  0.5000 x2  12 B 2.41-2.46
B  0.0000  0.3297  0.2519 x8  3 B 1.75-1.79

Output
Volume in Å³/atom: 9.03
Distance to the lowest polymorph of the same formula in meV per atom: 212
ρ in g/cm³: 8.51